# 1
# Pr2YScO6 | Alexandria | PBE | relaxed
# uncorrected formation energy: -3.414 eV/atom
# crystal system: monoclinic
# size of the total moment: 0.000 μB/cell
data_Pr2YScO6
_space_group_name_H-M_alt 'P 1 21/c 1'
_space_group_IT_number 14
_space_group_name_Hall '-P 2ybc'
_cell_length_a 5.7486
_cell_length_b 5.9896
_cell_length_c 10.1056
_cell_angle_alpha 90.00
_cell_angle_beta 124.26
_cell_angle_gamma 90.00
loop_
_atom_site_label
_atom_site_fract_x
_atom_site_fract_y
_atom_site_fract_z
_atom_site_occupancy
Pr1 0.2321 0.0546 0.2506 1
Y1 0.5000 0.0000 0.0000 1
Sc1 0.0000 0.0000 0.5000 1
O1 0.1196 0.2052 0.9318 1
O2 0.2309 0.6908 0.9360 1
O3 0.3654 0.0535 0.7415 1


# 2
# TlInHgI | Alexandria | PBE | relaxed
# uncorrected formation energy: -0.100 eV/atom
# crystal system: cubic
# size of the total moment: 0.000 μB/cell
data_TlInHgI
_space_group_name_H-M_alt 'F -4 3 m'
_space_group_IT_number 216
_space_group_name_Hall 'F -4 2 3'
_cell_length_a 8.1547
_cell_length_b 8.1547
_cell_length_c 8.1547
_cell_angle_alpha 90.00
_cell_angle_beta 90.00
_cell_angle_gamma 90.00
loop_
_atom_site_label
_atom_site_fract_x
_atom_site_fract_y
_atom_site_fract_z
_atom_site_occupancy
Tl1 0.0000 0.0000 0.0000 1
In1 0.0000 0.0000 0.5000 1
Hg1 0.2500 0.2500 0.2500 1
I1 0.2500 0.2500 0.7500 1


# 3
# MgNbPb2O6 | Alexandria | PBE | relaxed
# uncorrected formation energy: -1.871 eV/atom
# crystal system: monoclinic
# size of the total moment: 0.000 μB/cell
data_MgNbPb2O6
_space_group_name_H-M_alt 'P 1 21/c 1'
_space_group_IT_number 14
_space_group_name_Hall '-P 2ybc'
_cell_length_a 5.6765
_cell_length_b 5.7712
_cell_length_c 9.8784
_cell_angle_alpha 90.00
_cell_angle_beta 125.03
_cell_angle_gamma 90.00
loop_
_atom_site_label
_atom_site_fract_x
_atom_site_fract_y
_atom_site_fract_z
_atom_site_occupancy
Mg1 0.0000 0.0000 0.0000 1
Nb1 0.5000 0.0000 0.5000 1
Pb1 0.2432 0.0355 0.7494 1
O1 0.1725 0.2007 0.4601 1
O2 0.2589 0.7138 0.4571 1
O3 0.3378 0.0225 0.2561 1


# 4
# Sc2VGa2Co5 | Alexandria | PBE | relaxed
# crystal system: tetragonal
# formation enthalpy at 0 K: -0.25 eV per atom
# size of the total moment: 0.000 μB/cell
data_Sc2VGa2Co5
_space_group_name_H-M_alt 'P 4/m b m'
_space_group_IT_number 127
_space_group_name_Hall '-P 4 2ab'
_cell_length_a 9.1808
_cell_length_b 9.1808
_cell_length_c 3.2498
_cell_angle_alpha 90.00
_cell_angle_beta 90.00
_cell_angle_gamma 90.00
loop_
_atom_site_label
_atom_site_fract_x
_atom_site_fract_y
_atom_site_fract_z
_atom_site_occupancy
Sc1 0.1699 0.3301 0.0000 1
V1 0.0000 0.0000 0.0000 1
Ga1 0.1290 0.6290 0.0000 1
Co1 0.0000 0.5000 0.5000 1
Co2 0.0608 0.8062 0.5000 1


# 5
# BaAgBrCl2 | Alexandria | PBE | relaxed
# uncorrected formation energy: -1.589 eV/atom
# crystal system: orthorhombic
# size of the total moment: 0.000 μB/cell
data_BaAgBrCl2
_space_group_name_H-M_alt 'C m c m'
_space_group_IT_number 63
_space_group_name_Hall '-C 2c 2'
_cell_length_a 4.5686
_cell_length_b 14.3351
_cell_length_c 9.5993
_cell_angle_alpha 90.00
_cell_angle_beta 90.00
_cell_angle_gamma 90.00
loop_
_atom_site_label
_atom_site_fract_x
_atom_site_fract_y
_atom_site_fract_z
_atom_site_occupancy
Ba1 0.0000 0.2384 0.2500 1
Ag1 0.0000 0.0000 0.0000 1
Br1 0.0000 0.4304 0.7500 1
Cl1 0.0000 0.1648 0.5666 1


# 6
# BeSN2Cl | Alexandria | PBE | relaxed
# uncorrected formation energy: 1.296 eV/atom
# crystal system: tetragonal
# size of the total moment: 1.421 μB/cell
data_BeSN2Cl
_space_group_name_H-M_alt 'P 4/m m m'
_space_group_IT_number 123
_space_group_name_Hall '-P 4 2'
_cell_length_a 3.3750
_cell_length_b 3.3750
_cell_length_c 7.4751
_cell_angle_alpha 90.00
_cell_angle_beta 90.00
_cell_angle_gamma 90.00
loop_
_atom_site_label
_atom_site_fract_x
_atom_site_fract_y
_atom_site_fract_z
_atom_site_occupancy
Be1 0.0000 0.0000 0.0000 1
S1 0.0000 0.0000 0.5000 1
N1 0.0000 0.5000 0.0000 1
Cl1 0.5000 0.5000 0.5000 1


# 7
# Ta2CrRh | Alexandria | PBE | relaxed
# crystal system: tetragonal
# formation enthalpy at 0 K: -0.11 eV per atom
# size of the total moment: 1.635 μB/cell
data_Ta2CrRh
_space_group_name_H-M_alt 'P 4 m m'
_space_group_IT_number 99
_space_group_name_Hall 'P 4 -2'
_cell_length_a 3.1745
_cell_length_b 3.1745
_cell_length_c 6.3054
_cell_angle_alpha 90.00
_cell_angle_beta 90.00
_cell_angle_gamma 90.00
loop_
_atom_site_label
_atom_site_fract_x
_atom_site_fract_y
_atom_site_fract_z
_atom_site_occupancy
Ta1 0.0000 0.0000 0.0000 1
Ta2 0.5000 0.5000 0.2814 1
Cr1 0.0000 0.0000 0.5023 1
Rh1 0.5000 0.5000 0.7627 1


# 8
# La3SmNi2 | Alexandria | PBE | relaxed
# crystal system: monoclinic
# formation enthalpy at 0 K: -0.23 eV per atom
# size of the total moment: 0.000 μB/cell
data_La3SmNi2
_space_group_name_H-M_alt 'C 1 2/m 1'
_space_group_IT_number 12
_space_group_name_Hall '-C 2y'
_cell_length_a 16.6714
_cell_length_b 4.0620
_cell_length_c 12.0627
_cell_angle_alpha 90.00
_cell_angle_beta 124.72
_cell_angle_gamma 90.00
loop_
_atom_site_label
_atom_site_fract_x
_atom_site_fract_y
_atom_site_fract_z
_atom_site_occupancy
La1 0.0845 0.0000 0.4489 1
La2 0.0884 0.0000 0.9430 1
La3 0.1548 0.5000 0.2531 1
Sm1 0.1574 0.5000 0.7519 1
Ni1 0.2325 0.5000 0.5566 1
Ni2 0.2326 0.5000 0.0518 1


# 9
# Pu4Mn3Ga16 | Alexandria | PBE | relaxed
# crystal system: tetragonal
# formation enthalpy at 0 K: -0.30 eV per atom
# size of the total moment: 27.544 μB/cell
data_Pu4Mn3Ga16
_space_group_name_H-M_alt 'P 4/m m m'
_space_group_IT_number 123
_space_group_name_Hall '-P 4 2'
_cell_length_a 6.1231
_cell_length_b 6.1231
_cell_length_c 11.2177
_cell_angle_alpha 90.00
_cell_angle_beta 90.00
_cell_angle_gamma 90.00
loop_
_atom_site_label
_atom_site_fract_x
_atom_site_fract_y
_atom_site_fract_z
_atom_site_occupancy
Pu1 0.0000 0.5000 0.1885 1
Mn1 0.0000 0.0000 0.0000 1
Mn2 0.0000 0.5000 0.5000 1
Ga1 0.0000 0.0000 0.2168 1
Ga2 0.2530 0.2530 0.3782 1
Ga3 0.2808 0.2808 0.0000 1
Ga4 0.5000 0.5000 0.1952 1


# 10
# Tb2TlCd | Alexandria | PBE | relaxed
# crystal system: trigonal
# formation enthalpy at 0 K: -0.21 eV per atom
# size of the total moment: 0.000 μB/cell
data_Tb2TlCd
_space_group_name_H-M_alt 'R -3 m'
_space_group_IT_number 166
_space_group_name_Hall '-R 3 2"'
_cell_length_a 3.7233
_cell_length_b 3.7233
_cell_length_c 29.1365
_cell_angle_alpha 90.00
_cell_angle_beta 90.00
_cell_angle_gamma 120.00
loop_
_atom_site_label
_atom_site_fract_x
_atom_site_fract_y
_atom_site_fract_z
_atom_site_occupancy
Tb1 0.0000 0.0000 0.2499 1
Tl1 0.0000 0.0000 0.0000 1
Cd1 0.0000 0.0000 0.5000 1


# 11
# Ba2BeCl | Alexandria | PBE | relaxed
# uncorrected formation energy: -0.477 eV/atom
# crystal system: monoclinic
# size of the total moment: 0.652 μB/cell
data_Ba2BeCl
_space_group_name_H-M_alt 'C 1 2/m 1'
_space_group_IT_number 12
_space_group_name_Hall '-C 2y'
_cell_length_a 8.2061
_cell_length_b 8.1989
_cell_length_c 3.7437
_cell_angle_alpha 90.00
_cell_angle_beta 90.32
_cell_angle_gamma 90.00
loop_
_atom_site_label
_atom_site_fract_x
_atom_site_fract_y
_atom_site_fract_z
_atom_site_occupancy
Ba1 0.2500 0.2500 0.0000 1
Be1 0.0000 0.0000 0.5000 1
Cl1 0.0000 0.5000 0.5000 1


# 12
# K3SeN | Alexandria | PBE | relaxed
# uncorrected formation energy: -0.032 eV/atom
# crystal system: cubic
# size of the total moment: 2.000 μB/cell
data_K3SeN
_space_group_name_H-M_alt 'P m -3 m'
_space_group_IT_number 221
_space_group_name_Hall '-P 4 2 3'
_cell_length_a 5.3443
_cell_length_b 5.3443
_cell_length_c 5.3443
_cell_angle_alpha 90.00
_cell_angle_beta 90.00
_cell_angle_gamma 90.00
loop_
_atom_site_label
_atom_site_fract_x
_atom_site_fract_y
_atom_site_fract_z
_atom_site_occupancy
K1 0.0000 0.0000 0.5000 1
Se1 0.5000 0.5000 0.5000 1
N1 0.0000 0.0000 0.0000 1


# 13
# PmUCo2 | Alexandria | PBE | relaxed
# crystal system: trigonal
# formation enthalpy at 0 K: -0.02 eV per atom
# size of the total moment: 0.001 μB/cell
data_PmUCo2
_space_group_name_H-M_alt 'R -3 m'
_space_group_IT_number 166
_space_group_name_Hall '-R 3 2"'
_cell_length_a 3.6119
_cell_length_b 3.6119
_cell_length_c 20.8348
_cell_angle_alpha 90.00
_cell_angle_beta 90.00
_cell_angle_gamma 120.00
loop_
_atom_site_label
_atom_site_fract_x
_atom_site_fract_y
_atom_site_fract_z
_atom_site_occupancy
Pm1 0.0000 0.0000 0.0000 1
U1 0.0000 0.0000 0.5000 1
Co1 0.0000 0.0000 0.2369 1


# 14
# Hg2BTe | Alexandria | PBE | relaxed
# uncorrected formation energy: 0.689 eV/atom
# crystal system: tetragonal
# size of the total moment: 0.000 μB/cell
data_Hg2BTe
_space_group_name_H-M_alt 'I -4 2 d'
_space_group_IT_number 122
_space_group_name_Hall 'I -4 2bw'
_cell_length_a 6.3643
_cell_length_b 6.3643
_cell_length_c 10.1080
_cell_angle_alpha 90.00
_cell_angle_beta 90.00
_cell_angle_gamma 90.00
loop_
_atom_site_label
_atom_site_fract_x
_atom_site_fract_y
_atom_site_fract_z
_atom_site_occupancy
Hg1 0.1569 0.2500 0.1250 1
B1 0.0000 0.0000 0.0000 1
Te1 0.0000 0.0000 0.5000 1


# 15
# LiYSnCl6 | Alexandria | PBE | relaxed
# uncorrected formation energy: -1.739 eV/atom
# crystal system: trigonal
# size of the total moment: 0.000 μB/cell
data_LiYSnCl6
_space_group_name_H-M_alt 'P -3 1 c'
_space_group_IT_number 163
_space_group_name_Hall '-P 3 2c'
_cell_length_a 6.7316
_cell_length_b 6.7316
_cell_length_c 12.4853
_cell_angle_alpha 90.00
_cell_angle_beta 90.00
_cell_angle_gamma 120.00
loop_
_atom_site_label
_atom_site_fract_x
_atom_site_fract_y
_atom_site_fract_z
_atom_site_occupancy
Li1 0.3333 0.6667 0.2500 1
Y1 0.3333 0.6667 0.7500 1
Sn1 0.0000 0.0000 0.0000 1
Cl1 0.0054 0.3549 0.1318 1


# 16
# KAcAs | Alexandria | PBE | relaxed
# crystal system: monoclinic
# formation enthalpy at 0 K: -0.14 eV per atom
# size of the total moment: 0.000 μB/cell
data_KAcAs
_space_group_name_H-M_alt 'C 1 2/m 1'
_space_group_IT_number 12
_space_group_name_Hall '-C 2y'
_cell_length_a 17.8171
_cell_length_b 5.9349
_cell_length_c 4.9915
_cell_angle_alpha 90.00
_cell_angle_beta 105.97
_cell_angle_gamma 90.00
loop_
_atom_site_label
_atom_site_fract_x
_atom_site_fract_y
_atom_site_fract_z
_atom_site_occupancy
K1 0.1742 0.0000 0.4200 1
Ac1 0.0846 0.5000 0.8332 1
As1 0.0252 0.0000 0.7747 1


# 17
# Cd4Pd3Rh | Alexandria | PBE | relaxed
# crystal system: tetragonal
# formation enthalpy at 0 K: -0.33 eV per atom
# size of the total moment: 0.000 μB/cell
data_Cd4Pd3Rh
_space_group_name_H-M_alt 'P 4/m m m'
_space_group_IT_number 123
_space_group_name_Hall '-P 4 2'
_cell_length_a 3.3141
_cell_length_b 3.3141
_cell_length_c 12.6188
_cell_angle_alpha 90.00
_cell_angle_beta 90.00
_cell_angle_gamma 90.00
loop_
_atom_site_label
_atom_site_fract_x
_atom_site_fract_y
_atom_site_fract_z
_atom_site_occupancy
Cd1 0.0000 0.0000 0.1224 1
Cd2 0.0000 0.0000 0.3741 1
Pd1 0.5000 0.5000 0.2495 1
Pd2 0.5000 0.5000 0.5000 1
Rh1 0.5000 0.5000 0.0000 1


# 18
# B2C | Alexandria | PBE | relaxed
# crystal system: trigonal
# formation enthalpy at 0 K: 0.50 eV per atom
# size of the total moment: 0.000 μB/cell
data_B2C
_space_group_name_H-M_alt 'P 3 m 1'
_space_group_IT_number 156
_space_group_name_Hall 'P 3 -2"'
_cell_length_a 2.7220
_cell_length_b 2.7220
_cell_length_c 15.3540
_cell_angle_alpha 90.00
_cell_angle_beta 90.00
_cell_angle_gamma 120.00
loop_
_atom_site_label
_atom_site_fract_x
_atom_site_fract_y
_atom_site_fract_z
_atom_site_occupancy
B1 0.0000 0.0000 0.0000 1
B2 0.0000 0.0000 0.1073 1
B3 0.0000 0.0000 0.6570 1
B4 0.3333 0.6667 0.1722 1
B5 0.3333 0.6667 0.2871 1
B6 0.6667 0.3333 0.0335 1
B7 0.6667 0.3333 0.5406 1
B8 0.6667 0.3333 0.8161 1
C1 0.0000 0.0000 0.5503 1
C2 0.3333 0.6667 0.7014 1
C3 0.3333 0.6667 0.8014 1
C4 0.6667 0.3333 0.2882 1


# 19
# Pm2HSe3 | Alexandria | PBE | relaxed
# crystal system: orthorhombic
# energy: -5.289 eV per atom
# size of the total moment: 0.000 μB/cell
data_Pm2HSe3
_space_group_name_H-M_alt 'P n m a'
_space_group_IT_number 62
_space_group_name_Hall '-P 2ac 2n'
_cell_length_a 11.1274
_cell_length_b 4.0208
_cell_length_c 11.8641
_cell_angle_alpha 90.00
_cell_angle_beta 90.00
_cell_angle_gamma 90.00
loop_
_atom_site_label
_atom_site_fract_x
_atom_site_fract_y
_atom_site_fract_z
_atom_site_occupancy
Pm1 0.0454 0.2500 0.1739 1
Pm2 0.1946 0.2500 0.5122 1
H1 0.1343 0.7500 0.1210 1
Se1 0.0593 0.7500 0.3717 1
Se2 0.1236 0.2500 0.9327 1
Se3 0.1879 0.7500 0.6963 1


# 20
# Mg7IrPt2 | Alexandria | PBE | relaxed
# crystal system: trigonal
# formation enthalpy at 0 K: -0.51 eV per atom
# size of the total moment: 0.000 μB/cell
data_Mg7IrPt2
_space_group_name_H-M_alt 'P 3 m 1'
_space_group_IT_number 156
_space_group_name_Hall 'P 3 -2"'
_cell_length_a 4.5269
_cell_length_b 4.5269
_cell_length_c 10.8588
_cell_angle_alpha 90.00
_cell_angle_beta 90.00
_cell_angle_gamma 120.00
loop_
_atom_site_label
_atom_site_fract_x
_atom_site_fract_y
_atom_site_fract_z
_atom_site_occupancy
Mg1 0.0000 0.0000 0.0000 1
Mg2 0.0000 0.0000 0.2561 1
Mg3 0.0000 0.0000 0.7351 1
Mg4 0.3333 0.6667 0.4042 1
Mg5 0.3333 0.6667 0.8859 1
Mg6 0.6667 0.3333 0.1151 1
Mg7 0.6667 0.3333 0.5800 1
Ir1 0.3333 0.6667 0.1448 1
Pt1 0.0000 0.0000 0.4960 1
Pt2 0.6667 0.3333 0.8415 1


# 21
# Pr4CdGa2 | Alexandria | PBE | relaxed
# crystal system: trigonal
# formation enthalpy at 0 K: -0.36 eV per atom
# size of the total moment: 0.000 μB/cell
data_Pr4CdGa2
_space_group_name_H-M_alt 'R -3 m'
_space_group_IT_number 166
_space_group_name_Hall '-R 3 2"'
_cell_length_a 5.2844
_cell_length_b 5.2844
_cell_length_c 25.2854
_cell_angle_alpha 90.00
_cell_angle_beta 90.00
_cell_angle_gamma 120.00
loop_
_atom_site_label
_atom_site_fract_x
_atom_site_fract_y
_atom_site_fract_z
_atom_site_occupancy
Pr1 0.0000 0.0000 0.1160 1
Pr2 0.0000 0.0000 0.3686 1
Cd1 0.0000 0.0000 0.5000 1
Ga1 0.0000 0.0000 0.2452 1


# 22
# NpScTe2 | Alexandria | PBE | relaxed
# uncorrected formation energy: -0.715 eV/atom
# crystal system: tetragonal
# size of the total moment: 5.626 μB/cell
data_NpScTe2
_space_group_name_H-M_alt 'P 4/m m m'
_space_group_IT_number 123
_space_group_name_Hall '-P 4 2'
_cell_length_a 5.2420
_cell_length_b 5.2420
_cell_length_c 3.7103
_cell_angle_alpha 90.00
_cell_angle_beta 90.00
_cell_angle_gamma 90.00
loop_
_atom_site_label
_atom_site_fract_x
_atom_site_fract_y
_atom_site_fract_z
_atom_site_occupancy
Np1 0.0000 0.0000 0.0000 1
Sc1 0.5000 0.5000 0.0000 1
Te1 0.0000 0.5000 0.5000 1